[1]
VASP calculation (GGA-PBE) on a relaxed structure of Co2MoRu.

a b c (Å): 3.679 3.679 3.714
angles (deg): 90.00 90.00 90.00
Fractional coordinates of all 4 atoms:
Mo  0.500  0.000  0.500
Co  0.000  0.000  0.000
Ru  0.000  0.500  0.500
Co  0.500  0.500  0.000

- VASP energy (eV/atom) = -8.570
- ΔH_f (0 K) (eV/atom) = 0.010

=====

[2]
VASP calculation (GGA-PBE) on a relaxed structure of Tl12As5Se3.

a b c (Å): 15.242 15.242 15.242
angles (deg): 109.47 109.47 109.47
Fractional coordinates of all 80 atoms:
Tl  0.669  0.450  0.589
Tl  0.089  0.920  0.139
Se  0.375  0.750  0.625
Se  0.625  0.375  0.750
As  0.875  0.250  0.625
As  0.625  0.875  0.250
As  0.000  0.500  0.500
As  0.625  0.750  0.875
Tl  0.169  0.089  0.950
As  0.500  0.500  0.000
Tl  0.450  0.781  0.861
Tl  0.589  0.950  0.669
As  0.000  0.000  0.500
Tl  0.420  0.139  0.589
Tl  0.639  0.589  0.920
Se  0.625  0.250  0.375
Tl  0.139  0.719  0.550
As  0.500  0.000  0.500
Se  0.250  0.125  0.375
Tl  0.361  0.411  0.080
Se  0.375  0.625  0.250
Se  0.125  0.250  0.875
As  0.375  0.125  0.750
Tl  0.911  0.831  0.550
Se  0.750  0.375  0.125
Tl  0.281  0.861  0.950
As  0.250  0.375  0.625
Tl  0.861  0.281  0.450
Tl  0.139  0.420  0.089
Tl  0.719  0.139  0.050
Tl  0.331  0.550  0.411
As  0.500  0.000  0.000
Tl  0.920  0.831  0.781
As  0.125  0.750  0.375
Tl  0.861  0.580  0.911
Tl  0.050  0.639  0.719
Tl  0.089  0.169  0.450
Tl  0.219  0.669  0.080
Tl  0.719  0.580  0.169
As  0.750  0.125  0.875
Tl  0.550  0.331  0.911
Se  0.875  0.125  0.250
As  0.500  0.500  0.500
As  0.250  0.875  0.125
Tl  0.219  0.550  0.639
Tl  0.361  0.950  0.781
Tl  0.669  0.219  0.580
Tl  0.781  0.331  0.920
Se  0.875  0.750  0.125
Tl  0.169  0.080  0.719
Tl  0.080  0.911  0.361
Se  0.250  0.625  0.875
Tl  0.331  0.781  0.420
Tl  0.950  0.361  0.281
Tl  0.411  0.361  0.580
Tl  0.411  0.050  0.331
Tl  0.550  0.219  0.139
Tl  0.589  0.639  0.420
Tl  0.950  0.589  0.169
Tl  0.580  0.861  0.411
Tl  0.911  0.080  0.861
Se  0.125  0.875  0.750
Tl  0.281  0.420  0.831
Tl  0.781  0.450  0.361
Se  0.750  0.875  0.625
Tl  0.580  0.719  0.669
As  0.750  0.625  0.375
As  0.000  0.500  0.000
Tl  0.831  0.911  0.050
Tl  0.920  0.089  0.639
Tl  0.831  0.920  0.281
As  0.875  0.625  0.750
Tl  0.450  0.669  0.089
As  0.375  0.250  0.125
Tl  0.420  0.281  0.331
As  0.125  0.375  0.250
Tl  0.080  0.169  0.219
Tl  0.639  0.050  0.219
As  0.000  0.000  0.000
Tl  0.050  0.411  0.831

- VASP energy (eV/atom) = -3.049
- formation energy (no corrections) (meV per atom) = 56

=====

[3]
VASP calculation (GGA-PBE) on a relaxed structure of TmScPd6.

a b c (Å): 4.056 4.056 8.089
angles (deg): 90.00 90.00 90.00
Fractional coordinates of all 8 atoms:
Pd  0.500  0.000  0.256
Pd  0.500  0.500  0.500
Pd  0.500  0.500  0.000
Tm  0.000  0.000  0.000
Pd  0.500  0.000  0.744
Sc  0.000  0.000  0.500
Pd  0.000  0.500  0.744
Pd  0.000  0.500  0.256

- VASP energy (eV/atom) = -6.113
- ΔH_f (0 K) (eV/atom) = -0.868

=====

[4]
VASP calculation (GGA-PBE) on a relaxed structure of Na3Th3AuSe8.

a b c (Å): 8.877 8.398 8.435
angles (deg): 118.77 90.00 121.90
Fractional coordinates of all 15 atoms:
Na  0.000  0.000  0.000
Se  0.295  0.022  0.254
Th  0.500  0.500  0.500
Se  0.752  0.503  0.742
Se  0.218  0.436  0.703
Au  0.000  0.000  0.500
Th  0.000  0.500  0.500
Se  0.248  0.497  0.258
Se  0.705  0.978  0.746
Th  0.500  0.000  0.500
Se  0.727  0.022  0.254
Na  0.000  0.500  0.000
Se  0.782  0.564  0.297
Na  0.500  0.500  0.000
Se  0.273  0.978  0.746

- VASP energy (eV/atom) = -5.148
- formation energy (no corrections) (meV per atom) = -1323

=====

[5]
VASP calculation (GGA-PBE) on a relaxed structure of Tb3Tm7Tc4.

a b c (Å): 3.689 9.543 10.776
angles (deg): 71.26 80.14 78.86
Fractional coordinates of all 14 atoms:
Tb  0.000  0.500  0.500
Tm  0.499  0.755  0.248
Tc  0.873  0.961  0.294
Tc  0.127  0.039  0.706
Tm  0.837  0.418  0.908
Tb  0.702  0.795  0.801
Tc  0.637  0.434  0.291
Tm  0.319  0.845  0.516
Tm  0.000  0.000  0.000
Tm  0.501  0.245  0.752
Tb  0.298  0.205  0.199
Tc  0.363  0.566  0.709
Tm  0.163  0.582  0.092
Tm  0.681  0.155  0.484

- VASP energy (eV/atom) = -6.199
- ΔH_f (0 K) (eV/atom) = -0.010

=====

[6]
VASP calculation (GGA-PBE) on a relaxed structure of Ba2IrRu.

a b c (Å): 9.693 9.693 9.693
angles (deg): 21.60 21.60 21.60
Last column: magnetic moment on the atom in μB.
Fractional coordinates of all 4 atoms:
Ru  0.750  0.750  0.750  0.24
Ir  0.250  0.250  0.250  0.04
Ba  0.000  0.000  0.000  -0.01
Ba  0.500  0.500  0.500  -0.01

- VASP energy (eV/atom) = -4.548
- ΔH_f (0 K) (eV/atom) = 0.947